The following is a PBE-GGA calculation of an optimized crystal structure of Mg2GaWN4, from the Alexandria database.

Computed properties:
Raw formation energy: -0.596 eV per atom
DOS(E_F): 0.84 states/eV/cell

a = 4.7760 Å, b = 4.7760 Å, c = 5.6817 Å
α = 114.85°, β = 114.85°, γ = 90.00°
With the nearest neighbours (Å) after each atom.
Sites, in units of the cell vectors:
1 N 0.8521 0.3707 0.2228  1 W 1.92, 1 Ga 2.03, 2 Mg 2.11
2 N 0.3707 0.8521 0.2228  1 W 1.92, 1 Ga 2.03, 2 Mg 2.11
3 N 0.1480 0.1480 0.7774  1 W 1.92, 1 Ga 2.03, 2 Mg 2.11
4 N 0.6294 0.6294 0.7774  1 W 1.92, 1 Ga 2.03, 2 Mg 2.11
5 Mg 0.2500 0.7500 0.5001  4 N 2.11
6 Mg 0.7500 0.2500 0.5001  4 N 2.11
7 W 0.5000 0.5000 0.0001  4 N 1.92
8 Ga 0.0001 0.0001 0.0001  4 N 2.03

---

The following is a PBE-GGA calculation of an optimized crystal structure of CeSi2NiRu, from the Alexandria database.

Computed properties:
Raw formation energy: -0.810 eV per atom
DOS(E_F): 5.03 states/eV/cell

a = 4.0147 Å, b = 4.0147 Å, c = 5.7839 Å
α = 110.31°, β = 110.31°, γ = 90.00°
With the nearest neighbours (Å) after each atom.
Sites, in units of the cell vectors:
1 Ru 0.2500 0.7500 0.5000  4 Si 2.38
2 Ce 0.0000 0.0000 0.0000  8 Si 3.10, 4 Ru 3.22, 4 Ni 3.22
3 Si 0.3762 0.3762 0.7524  2 Ru 2.38, 2 Ni 2.38, 1 Si 2.50
4 Si 0.6238 0.6238 0.2476  2 Ru 2.38, 2 Ni 2.38, 1 Si 2.50
5 Ni 0.7500 0.2500 0.5000  4 Si 2.38

---

The following is a PBE-GGA calculation of an optimized crystal structure of Re2GeP, from the Alexandria database.

Computed properties:
ΔE_f: 0.47 eV per atom
Energy relative to the lowest polymorph listed for this composition: 0.348 eV per atom
DOS(E_F): 7.23 states/eV/cell

a = 3.9733 Å, b = 3.9733 Å, c = 8.8288 Å
α = 77.00°, β = 77.00°, γ = 90.00°
With the nearest neighbours (Å) after each atom.
Sites, in units of the cell vectors:
1 P 0.5000 0.5000 0.0000  4 Re 2.44
2 P 0.2500 0.7500 0.5000  4 Re 2.44
3 Ge 0.7500 0.2500 0.5000  4 Re 2.61, 4 P 2.81
4 Ge 0.0000 0.0000 0.0000  4 Re 2.61, 4 P 2.81
5 Re 0.8750 0.8217 0.7500  2 P 2.44, 2 Re 2.53, 2 Ge 2.61
6 Re 0.5717 0.1250 0.2500  2 P 2.44, 2 Re 2.53, 2 Ge 2.61
7 Re 0.1783 0.6250 0.2500  2 P 2.44, 2 Re 2.53, 2 Ge 2.61
8 Re 0.3750 0.4283 0.7500  2 P 2.44, 2 Re 2.53, 2 Ge 2.61

---

The following is a PBE-GGA calculation of an optimized crystal structure of CsPm2Tc2N6, from the Alexandria database.

Computed properties:
Raw formation energy: -0.458 eV per atom
DOS(E_F): 4.30 states/eV/cell

a = 6.7867 Å, b = 6.5325 Å, c = 6.9920 Å
α = 115.77°, β = 86.20°, γ = 62.65°
With the nearest neighbours (Å) after each atom.
Sites, in units of the cell vectors:
1 N 0.5892 0.3507 0.1246  1 Tc 1.79
2 N 0.4108 0.6493 0.8754  1 Tc 1.79
3 N 0.1245 0.8493 0.5965  1 Tc 1.83
4 N 0.8755 0.1507 0.4035  1 Tc 1.83
5 N 0.9791 0.4220 0.1759  1 Tc 1.79
6 N 0.0209 0.5780 0.8241  1 Tc 1.79
7 Pm 0.8246 0.3524 0.7894  4 N 2.35-2.53
8 Pm 0.1754 0.6476 0.2106  4 N 2.35-2.53
9 Tc 0.8594 0.2316 0.1833  3 N 1.79-1.83
10 Tc 0.1406 0.7684 0.8167  3 N 1.79-1.83
11 Cs 0.5000 0.0000 0.5000  4 N 3.20-3.25

---

The following is a PBE-GGA calculation of an optimized crystal structure of Pr8Tl2Pt, from the Alexandria database.

Computed properties:
ΔE_f: -0.33 eV per atom
Energy relative to the lowest polymorph listed for this composition: 0.000 eV per atom
DOS(E_F): 12.07 states/eV/cell

a = 5.2229 Å, b = 7.0627 Å, c = 10.2383 Å
α = 103.96°, β = 104.78°, γ = 90.00°
With the nearest neighbours (Å) after each atom.
Sites, in units of the cell vectors:
1 Pr 0.3506 0.0089 0.7013  1 Pt 2.97, 2 Tl 3.25
2 Pr 0.9839 0.2197 0.9677  2 Pt 3.09, 1 Pr 3.32, 1 Tl 3.33
3 Pr 0.5902 0.4603 0.1804  1 Pt 3.30, 3 Pr 3.51-3.64, 2 Tl 3.54
4 Pr 0.2110 0.3196 0.4221  3 Tl 3.26-3.48, 2 Pr 3.50
5 Pr 0.4098 0.5397 0.8196  1 Pt 3.30, 3 Pr 3.51-3.64, 2 Tl 3.54
6 Pr 0.6494 0.9911 0.2987  1 Pt 2.97, 2 Tl 3.25
7 Pr 0.0161 0.7803 0.0323  2 Pt 3.09, 1 Pr 3.32, 1 Tl 3.33
8 Pr 0.7890 0.6804 0.5779  3 Tl 3.26-3.48, 2 Pr 3.50
9 Tl 0.8182 0.2461 0.6363  9 Pr 3.25-3.54
10 Tl 0.1818 0.7539 0.3637  9 Pr 3.25-3.54
11 Pt 0.5000 0.0000 0.0000  8 Pr 2.97-3.30

---

The following is a PBE-GGA calculation of an optimized crystal structure of Mn2MoCl, from the Alexandria database.

Computed properties:
Raw formation energy: 0.597 eV per atom
Energy relative to the lowest polymorph listed for this composition: 0.455 eV per atom
DOS(E_F): 4.39 states/eV/cell

a = 4.9507 Å, b = 4.9507 Å, c = 4.9507 Å
α = 147.71°, β = 128.79°, γ = 61.85°
With the nearest neighbours (Å) after each atom.
Sites, in units of the cell vectors:
1 Cl 0.2500 0.7500 0.5000  4 Mn 2.36, 4 Mo 2.54
2 Mn 0.4757 0.4757 0.0000  2 Cl 2.36, 4 Mn 2.58
3 Mn 0.0243 0.0243 0.0000  2 Cl 2.36, 4 Mn 2.58
4 Mo 0.7500 0.2500 0.5000  4 Cl 2.54, 4 Mn 2.71, 2 Mo 2.75